[1]
{"formula": "PaTe2IO8", "functional": "PBE", "state": "relaxed", "lattice_angstrom": [[6.1361, 0.0000, 0.0000], [-3.0681, 5.3141, 0.0000], [0.0000, 0.0000, 8.1667]], "species": ["Pa", "Te", "Te", "I", "O", "O", "O", "O", "O", "O", "O", "O"], "frac_coords": [[0.0000, 0.0000, 0.0000], [0.3333, 0.6667, 0.7552], [0.6667, 0.3333, 0.2448], [0.0000, 0.0000, 0.5000], [0.1755, 0.3509, 0.8629], [0.1755, 0.8245, 0.8629], [0.3333, 0.6667, 0.5350], [0.3509, 0.1755, 0.1371], [0.6491, 0.8245, 0.8629], [0.6667, 0.3333, 0.4650], [0.8245, 0.1755, 0.1371], [0.8245, 0.6491, 0.1371]], "mass_density_g_cm3": 4.6}

[2]
{"formula": "PaTiIO4", "functional": "PBE", "state": "relaxed", "lattice_angstrom": [[5.4957, -3.4724, 0.0000], [5.4957, 3.4724, 0.0000], [-2.0557, 0.0000, 6.6761]], "species": ["Pa", "Pa", "Ti", "Ti", "I", "I", "O", "O", "O", "O", "O", "O", "O", "O"], "frac_coords": [[0.2412, 0.2412, 0.3582], [0.7588, 0.7588, 0.6418], [0.1323, 0.1323, 0.7673], [0.8677, 0.8677, 0.2327], [0.4920, 0.4920, 0.7494], [0.5080, 0.5080, 0.2506], [0.0090, 0.3963, 0.6478], [0.0422, 0.0422, 0.3069], [0.1943, 0.1943, 0.0391], [0.3963, 0.0090, 0.6478], [0.6037, 0.9910, 0.3522], [0.8057, 0.8057, 0.9609], [0.9578, 0.9578, 0.6931], [0.9910, 0.6037, 0.3522]], "mass_density_g_cm3": 6.1}

[3]
{"formula": "PaTl3I2O8", "functional": "PBE", "state": "relaxed", "lattice_angstrom": [[6.3092, 0.0000, 0.0000], [-3.1546, 5.4639, 0.0000], [0.0000, 0.0000, 8.2264]], "species": ["Pa", "Tl", "Tl", "Tl", "I", "I", "O", "O", "O", "O", "O", "O", "O", "O"], "frac_coords": [[0.0000, 0.0000, 0.0000], [0.0000, 0.0000, 0.5000], [0.3333, 0.6667, 0.1535], [0.6667, 0.3333, 0.8465], [0.3333, 0.6667, 0.7020], [0.6667, 0.3333, 0.2980], [0.1601, 0.3201, 0.8428], [0.1601, 0.8399, 0.8428], [0.3201, 0.1601, 0.1572], [0.3333, 0.6667, 0.4702], [0.6667, 0.3333, 0.5298], [0.6799, 0.8399, 0.8428], [0.8399, 0.1601, 0.1572], [0.8399, 0.6799, 0.1572]], "mass_density_g_cm3": 7.2}

[4]
{"formula": "Pa2Tl2I2O5", "functional": "PBE", "state": "relaxed", "lattice_angstrom": [[-2.1755, 2.1755, 14.8375], [2.1755, -2.1755, 14.8375], [2.1755, 2.1755, -14.8375]], "species": ["Pa", "Pa", "Tl", "Tl", "I", "I", "O", "O", "O", "O", "O"], "frac_coords": [[0.0708, 0.0708, 0.0000], [0.9292, 0.9292, 0.0000], [0.3488, 0.3488, 0.0000], [0.6512, 0.6512, 0.0000], [0.1909, 0.1909, 0.0000], [0.8091, 0.8091, 0.0000], [0.0000, 0.0000, 0.0000], [0.0773, 0.5773, 0.5000], [0.4227, 0.9227, 0.5000], [0.5773, 0.0773, 0.5000], [0.9227, 0.4227, 0.5000]], "mass_density_g_cm3": 7.1}

[5]
{"formula": "Pa2TlIO8", "functional": "PBE", "state": "relaxed", "lattice_angstrom": [[5.2180, 0.0000, 0.0000], [0.0000, 7.2514, 0.0000], [-0.1876, 0.0000, 5.2273]], "species": ["Pa", "Pa", "Tl", "I", "O", "O", "O", "O", "O", "O", "O", "O"], "frac_coords": [[0.0000, 0.2495, 0.0000], [0.0000, 0.7505, 0.0000], [0.5000, 0.0000, 0.5000], [0.5000, 0.5000, 0.5000], [0.1641, 0.0000, 0.8421], [0.2011, 0.5000, 0.8018], [0.2879, 0.3037, 0.2912], [0.2879, 0.6963, 0.2912], [0.7121, 0.3037, 0.7088], [0.7121, 0.6963, 0.7088], [0.7989, 0.5000, 0.1982], [0.8359, 0.0000, 0.1579]], "mass_density_g_cm3": 7.7}

[6]
{"formula": "PaTl2IO6", "functional": "PBE", "state": "relaxed", "lattice_angstrom": [[6.0469, 0.0000, 0.0000], [0.0000, 6.0469, 0.0000], [0.0000, 0.0000, 4.5497]], "species": ["Pa", "Tl", "Tl", "I", "O", "O", "O", "O", "O", "O"], "frac_coords": [[0.0000, 0.0000, 0.0000], [0.0000, 0.5000, 0.5057], [0.5000, 0.0000, 0.5057], [0.5000, 0.5000, 0.0001], [0.0000, 0.0000, 0.5027], [0.2545, 0.2545, 0.9983], [0.2545, 0.7455, 0.9983], [0.5000, 0.5000, 0.5993], [0.7455, 0.2545, 0.9983], [0.7455, 0.7455, 0.9983]], "mass_density_g_cm3": 8.6}

[7]
{"formula": "PaTl2IO8", "functional": "PBE", "state": "relaxed", "lattice_angstrom": [[3.5688, -3.6975, 0.0000], [3.5688, 3.6975, 0.0000], [0.0000, 0.0000, 6.9127]], "species": ["Pa", "Tl", "Tl", "I", "O", "O", "O", "O", "O", "O", "O", "O"], "frac_coords": [[0.0000, 0.0000, 0.0000], [0.5000, 0.5000, 0.2546], [0.5000, 0.5000, 0.7454], [0.0000, 0.0000, 0.5000], [0.1802, 0.8198, 0.2589], [0.1802, 0.8198, 0.7411], [0.2902, 0.2902, 0.5000], [0.2991, 0.2991, 0.0000], [0.7009, 0.7009, 0.0000], [0.7098, 0.7098, 0.5000], [0.8198, 0.1802, 0.2589], [0.8198, 0.1802, 0.7411]], "mass_density_g_cm3": 8.1}

[8]
{"formula": "PaTlIO5", "functional": "PBE", "state": "relaxed", "lattice_angstrom": [[4.4843, -5.5918, 0.0000], [4.4843, 5.5918, 0.0000], [-2.9580, 0.0000, 5.7761]], "species": ["Pa", "Pa", "Tl", "Tl", "I", "I", "O", "O", "O", "O", "O", "O", "O", "O", "O", "O"], "frac_coords": [[0.0000, 0.5000, 0.0000], [0.5000, 0.0000, 0.5000], [0.0719, 0.9281, 0.7500], [0.9281, 0.0719, 0.2500], [0.4459, 0.5541, 0.7500], [0.5541, 0.4459, 0.2500], [0.1710, 0.5285, 0.7561], [0.1951, 0.8049, 0.2500], [0.2172, 0.3677, 0.1389], [0.3677, 0.2172, 0.6389], [0.4715, 0.8290, 0.7439], [0.5285, 0.1710, 0.2561], [0.6323, 0.7828, 0.3611], [0.7828, 0.6323, 0.8611], [0.8049, 0.1951, 0.7500], [0.8290, 0.4715, 0.2439]], "mass_density_g_cm3": 7.4}

| no. | E_tot (eV/f.u.) | uncorrected formation energy (meV/atom) |
| --- | --- | --- |
| 1 | -72.39 | -1283 |
| 2 | -58.69 | -2845 |
| 3 | -72.30 | -924 |
| 4 | -77.56 | -2358 |
| 5 | -87.58 | -2084 |
| 6 | -61.34 | -1582 |
| 7 | -71.48 | -1336 |
| 8 | -51.85 | -1705 |